30
Lattice="4.631 0.000 0.000 0.000 8.428 0.000 -1.147 0.000 8.797" Properties=species:S:1:pos:R:3 comment="Cr2P3O10 | Alexandria | SCAN | PBEsol geometry" dft_energy_ev_per_cell=-332.2 formation_energy_uncorrected_mev_per_atom=-2387 magmom_total_mub_per_fu=7.00 pbc="T T T"
Cr -0.147 0.596 2.898
Cr -0.147 3.618 2.898
Cr 3.631 4.810 5.899
Cr 3.631 7.832 5.899
P 0.558 2.107 7.121
P 1.289 6.321 4.138
P 2.023 2.107 1.274
P 1.461 6.321 7.523
P 2.195 2.107 4.659
P 2.927 6.321 1.676
O -0.192 0.832 6.918
O -0.192 3.382 6.918
O 0.070 6.321 6.826
O 0.488 5.026 4.387
O 0.488 7.616 4.387
O 0.833 2.107 3.909
O 1.271 0.813 1.555
O 1.271 3.401 1.555
O 1.604 6.321 2.589
O 2.197 6.321 0.280
O 1.288 2.107 8.517
O 1.881 2.107 6.208
O 2.214 5.027 7.242
O 2.214 7.615 7.242
O 2.652 6.321 4.887
O 2.996 0.812 4.410
O 2.996 3.402 4.410
O 3.414 2.107 1.971
O 3.677 5.046 1.879
O 3.677 7.596 1.879